GGA-PBE TlPt2W, relaxed; density of states at the Fermi level = 0.749 states/eV/atom; SG = P4mm, No. 99; energy above the most stable polymorph in this dataset = 341 meV per atom; E_form = 115 kJ/mol of formula units
1.0
3.2995 0.0000 0.0000
0.0000 3.2995 0.0000
0.0000 0.0000 6.5173
Tl Pt W
1 2 1
direct
0.0000 0.0000 0.0000 Tl
0.0000 0.0000 0.5004 Pt
0.5000 0.5000 0.7412 Pt
0.5000 0.5000 0.3034 W